Density functional theory data (GGA-PBE) for a relaxed TaTl2F6 crystal.

The structure in CIF format:
```
data_TaTl2F6
_chemical_formula_sum 'Ta2 Tl4 F12'
_cell_length_a 4.973
_cell_length_b 4.973
_cell_length_c 15.040
_cell_angle_alpha 90.00
_cell_angle_beta 90.00
_cell_angle_gamma 90.00
_symmetry_space_group_name_H-M 'P 42/m n m'
_symmetry_Int_Tables_number 136
_symmetry_space_group_name_Hall '-P 4n 2n'
loop_
_atom_site_label
_atom_site_fract_x
_atom_site_fract_y
_atom_site_fract_z
Ta1 0.000 0.000 0.000
Tl1 0.000 0.000 0.272
F1 0.189 0.189 0.094
F2 0.229 0.229 0.500
```

Output
Total energy = -101.7 eV per cell
DOS(E_F) = 3.4 states/eV per cell
E_form (uncorrected) = -2557.1 meV/atom
Size of the total moment = 0.0 Bohr magnetons per cell